The following is a PBE with a Hubbard U calculation of Mn4V6F19 after structural relaxation, from the Alexandria database.

```
Mn4V6F19
1.0
-2.5628 -3.7765 6.6122
0.8819 -5.3234 -5.9527
7.0577 3.5341 1.4998
Mn F V
4 19 6
direct
0.0000 0.0000 0.7130 Mn
0.0000 0.7130 0.0000 Mn
0.7130 0.0000 0.0000 Mn
0.2870 0.2870 0.2870 Mn
0.0000 0.0000 0.0000 F
0.3385 0.5920 0.3676 F
0.2244 0.9709 0.6324 F
0.6617 0.6617 0.0000 F
0.2536 0.6615 0.0291 F
0.0000 0.3383 0.3383 F
0.3676 0.3385 0.5920 F
0.9709 0.6324 0.2244 F
0.4080 0.7464 0.7756 F
0.7756 0.4080 0.7464 F
0.5920 0.3676 0.3385 F
0.6324 0.2244 0.9709 F
0.3383 0.0000 0.3383 F
0.6617 0.0000 0.6617 F
0.7464 0.7756 0.4080 F
0.0000 0.6617 0.6617 F
0.0291 0.2536 0.6615 F
0.6615 0.0291 0.2536 F
0.3383 0.3383 0.0000 F
0.5000 0.1667 0.6667 V
0.1667 0.6667 0.5000 V
0.8333 0.3333 0.5000 V
0.3333 0.5000 0.8333 V
0.6667 0.5000 0.1667 V
0.5000 0.8333 0.3333 V
```

Summary:
Density ... 3.7 Mg/m³
Electronic total energy ... -181.5 eV/f.u.